1.
VASP calculation (PBE-GGA) on an optimized crystal structure of CaMnAlGa2.

```
CaMnAlGa2
1.0
4.646 0.000 0.000
0.000 4.646 0.000
0.000 0.000 4.586
Ca Mn Al Ga
1 1 1 2
Cartesian
0.000 0.000 0.000 Ca
2.323 2.323 2.293 Mn
2.323 2.323 0.000 Al
0.000 2.323 2.293 Ga
2.323 0.000 2.293 Ga
```

Results
N(E_F)   0.201 states/eV per atom
Calculated formation energy   -244 meV/atom

***

2.
VASP calculation (PBE-GGA) on an optimized crystal structure of CaMnAl2Ga.

```
CaMnAl2Ga
1.0
4.599 0.000 0.000
0.000 4.599 0.000
0.000 0.000 4.659
Ca Mn Al Ga
1 1 2 1
Cartesian
0.000 0.000 0.000 Ca
2.300 2.300 2.329 Mn
0.000 2.300 2.329 Al
2.300 0.000 2.329 Al
2.300 2.300 0.000 Ga
```

Results
N(E_F)   0.191 states/eV per atom
Calculated formation energy   -216 meV/atom

***

3.
VASP calculation (PBE-GGA) on an optimized crystal structure of Ca2NbAlGa.

```
Ca2NbAlGa
1.0
5.528 0.000 0.000
0.000 5.528 0.000
0.000 0.000 5.073
Ca Nb Al Ga
2 1 1 1
Cartesian
0.000 2.764 0.000 Ca
2.764 0.000 0.000 Ca
0.000 0.000 0.000 Nb
0.000 0.000 2.537 Al
2.764 2.764 2.537 Ga
```

Results
N(E_F)   1.014 states/eV per atom
Calculated formation energy   821 meV/atom

***

4.
VASP calculation (PBE-GGA) on an optimized crystal structure of CaNdAlGa.

```
CaNdAlGa
1.0
0.000 3.701 3.701
3.701 0.000 3.701
3.701 3.701 0.000
Ca Nd Al Ga
1 1 1 1
Cartesian
0.000 0.000 0.000 Ca
3.701 3.701 3.701 Nd
5.551 5.551 5.551 Al
1.850 1.850 1.850 Ga
```

Results
N(E_F)   0.715 states/eV per atom
Calculated formation energy   -370 meV/atom

***

5.
VASP calculation (PBE-GGA) on an optimized crystal structure of Ca2AlGa2Ni5.

```
Ca2AlGa2Ni5
1.0
9.952 0.000 0.000
0.000 9.952 0.000
0.000 0.000 3.114
Ca Al Ga Ni
4 2 4 10
Cartesian
1.724 3.252 0.000 Ca
3.252 8.228 0.000 Ca
6.700 1.724 0.000 Ca
8.228 6.700 0.000 Ca
0.000 0.000 0.000 Al
4.976 4.976 0.000 Al
1.272 6.248 0.000 Ga
3.704 1.272 0.000 Ga
6.248 8.680 0.000 Ga
8.680 3.704 0.000 Ga
0.000 4.976 1.557 Ni
0.560 8.038 1.557 Ni
1.914 0.560 1.557 Ni
3.062 5.536 1.557 Ni
4.417 3.062 1.557 Ni
4.976 0.000 1.557 Ni
5.536 6.891 1.557 Ni
6.891 4.417 1.557 Ni
8.038 9.393 1.557 Ni
9.393 1.914 1.557 Ni
```

Results
N(E_F)   0.505 states/eV per atom
Calculated formation energy   -288 meV/atom

***

6.
VASP calculation (PBE-GGA) on an optimized crystal structure of Ca2Al2GaNi5.

```
Ca2Al2GaNi5
1.0
10.262 0.000 0.000
0.000 10.262 0.000
0.000 0.000 2.909
Ca Al Ga Ni
4 4 2 10
Cartesian
1.765 3.366 0.000 Ca
3.366 8.497 0.000 Ca
6.896 1.765 0.000 Ca
8.497 6.896 0.000 Ca
1.341 6.472 0.000 Al
3.791 1.341 0.000 Al
6.472 8.922 0.000 Al
8.922 3.791 0.000 Al
0.000 0.000 0.000 Ga
5.131 5.131 0.000 Ga
0.000 5.131 1.455 Ni
0.579 8.316 1.455 Ni
1.946 0.579 1.455 Ni
3.185 5.710 1.455 Ni
4.553 3.185 1.455 Ni
5.131 0.000 1.455 Ni
5.710 7.078 1.455 Ni
7.078 4.553 1.455 Ni
8.316 9.684 1.455 Ni
9.684 1.946 1.455 Ni
```

Results
N(E_F)   0.625 states/eV per atom
Calculated formation energy   -277 meV/atom

***

7.
VASP calculation (PBE-GGA) on an optimized crystal structure of Ca2AlGaO5.

```
Ca2AlGaO5
1.0
1.582 -6.308 0.000
1.582 6.308 0.000
0.000 0.000 10.526
Ca Al Ga O
4 2 2 10
Cartesian
1.582 5.131 5.263 Ca
1.582 4.449 1.408 Ca
1.582 -4.449 6.671 Ca
1.582 -5.131 0.000 Ca
1.582 0.452 2.920 Al
1.582 -0.452 8.183 Al
1.582 3.512 9.008 Ga
1.582 -3.512 3.745 Ga
1.582 5.611 9.052 O
1.582 2.847 5.132 O
1.582 2.373 2.511 O
1.582 1.547 8.714 O
1.582 0.050 6.477 O
1.582 -0.050 1.214 O
1.582 -1.547 3.451 O
1.582 -2.373 7.774 O
1.582 -2.847 10.395 O
1.582 -5.611 3.789 O
```

Results
E_form (uncorrected)   -2649.8 meV per atom
N(E_F)   0.000 states/eV per atom

***

8.
VASP calculation (PBE-GGA) on an optimized crystal structure of CaAlGaPd.

```
CaAlGaPd
1.0
2.180 1.259 5.276
-2.180 1.259 5.276
0.000 -2.518 5.276
Ca Al Ga Pd
1 1 1 1
Cartesian
0.000 0.000 0.000 Ca
0.000 0.000 3.136 Al
0.000 0.000 7.204 Ga
0.000 0.000 12.897 Pd
```

Results
N(E_F)   0.447 states/eV per atom
Calculated formation energy   -586 meV/atom

***

9.
VASP calculation (PBE-GGA) on an optimized crystal structure of Ca2AlGaPd6.

```
Ca2AlGaPd6
1.0
4.681 -4.698 0.000
4.681 4.698 0.000
-4.671 0.000 4.692
Ca Al Ga Pd
2 1 1 6
Cartesian
4.681 2.349 0.000 Ca
4.681 -2.349 0.000 Ca
-2.336 0.000 2.346 Al
2.345 0.000 2.346 Ga
-0.020 0.000 2.346 Pd
-2.330 0.000 4.667 Pd
2.345 2.373 2.346 Pd
2.345 -2.373 2.346 Pd
7.021 0.000 0.024 Pd
4.710 0.000 2.346 Pd
```

Results
N(E_F)   0.503 states/eV per atom
Calculated formation energy   -432 meV/atom

***

10.
VASP calculation (PBE-GGA) on an optimized crystal structure of CaAlGaPd3.

```
CaAlGaPd3
1.0
3.376 -6.030 0.000
3.376 6.030 0.000
0.000 0.000 5.721
Ca Al Ga Pd
2 2 2 6
Cartesian
3.376 3.556 4.291 Ca
3.376 -3.556 1.430 Ca
3.376 4.458 1.430 Al
3.376 -4.458 4.291 Al
3.376 0.605 4.291 Ga
3.376 -0.605 1.430 Ga
1.397 0.000 0.000 Pd
1.397 0.000 2.861 Pd
3.376 1.997 1.430 Pd
3.376 -1.997 4.291 Pd
5.356 0.000 0.000 Pd
5.356 0.000 2.861 Pd
```

Results
N(E_F)   0.654 states/eV per atom
Calculated formation energy   -569 meV/atom

***

11.
VASP calculation (PBE-GGA) on an optimized crystal structure of Ca2AlGa4Pd3.

```
Ca2AlGa4Pd3
1.0
4.131 0.000 0.000
0.000 4.131 0.000
0.000 0.000 11.322
Ca Al Ga Pd
2 1 4 3
Cartesian
0.000 2.066 2.818 Ca
2.066 0.000 8.504 Ca
0.000 0.000 5.661 Al
0.000 0.000 0.000 Ga
0.000 2.066 7.266 Ga
2.066 0.000 4.056 Ga
2.066 2.066 0.000 Ga
0.000 2.066 9.792 Pd
2.066 0.000 1.530 Pd
2.066 2.066 5.661 Pd
```

Results
N(E_F)   0.428 states/eV per atom
Calculated formation energy   -655 meV/atom

***

12.
VASP calculation (PBE-GGA) on an optimized crystal structure of Ca2AlGa3Pd4.

```
Ca2AlGa3Pd4
1.0
4.298 0.000 0.000
0.000 4.298 0.000
0.000 0.000 10.440
Ca Al Ga Pd
2 1 3 4
Cartesian
0.000 2.149 2.570 Ca
2.149 0.000 7.870 Ca
0.000 0.000 5.220 Al
0.000 2.149 9.104 Ga
2.149 0.000 1.335 Ga
2.149 2.149 5.220 Ga
0.000 0.000 0.000 Pd
0.000 2.149 6.605 Pd
2.149 0.000 3.835 Pd
2.149 2.149 0.000 Pd
```

Results
N(E_F)   0.413 states/eV per atom
Calculated formation energy   -751 meV/atom

***

Look up the N(E_F) of the first one. 0.201 states/eV per atom